A plane-wave DFT calculation with PBE was carried out for crystalline BaTcOs at its relaxed geometry.

abc: 6.136 6.136 6.136
angles: 39.16 39.16 39.16
Fractional positions:
Ba1 0.000 0.000 0.000
Tc1 0.501 0.501 0.501
Os1 0.192 0.192 0.192

Values from the calculation:
Space-group type   R3m (160)
Energy of formation   0.566 eV/atom
D(E_F)   0.96 states/eV/atom
Polymorph energy (0 for the lowest one)   199.0 meV per atom